<i>
# Nb2HN | Alexandria | PBE | relaxed
data_Nb2HN
_symmetry_space_group_name_H-M 'R 3 m'
_symmetry_Int_Tables_number 160
_symmetry_space_group_name_Hall 'R 3 -2"'
_cell_length_a 3.1300
_cell_length_b 3.1300
_cell_length_c 15.8933
_cell_angle_alpha 90.00
_cell_angle_beta 90.00
_cell_angle_gamma 120.00
loop_
_atom_site_label
_atom_site_fract_x
_atom_site_fract_y
_atom_site_fract_z
Nb1 0.0000 0.0000 0.0000
Nb2 0.0000 0.0000 0.1788
H1 0.0000 0.0000 0.4097
N1 0.0000 0.0000 0.5898
# density of states at the Fermi level: 6.955 states/eV/cell

***

<ii>
# Nb2HN | Alexandria | PBE | relaxed
data_Nb2HN
_symmetry_space_group_name_H-M 'R -3 m'
_symmetry_Int_Tables_number 166
_symmetry_space_group_name_Hall '-R 3 2"'
_cell_length_a 3.1424
_cell_length_b 3.1424
_cell_length_c 17.8403
_cell_angle_alpha 90.00
_cell_angle_beta 90.00
_cell_angle_gamma 120.00
loop_
_atom_site_label
_atom_site_fract_x
_atom_site_fract_y
_atom_site_fract_z
Nb1 0.0000 0.0000 0.0994
H1 0.0000 0.0000 0.0000
N1 0.0000 0.0000 0.5000
# density of states at the Fermi level: 7.348 states/eV/cell

***

<iii>
# Nb2HN | Alexandria | PBE | relaxed
data_Nb2HN
_symmetry_space_group_name_H-M 'C m c 21'
_symmetry_Int_Tables_number 36
_cell_length_a 5.761
_cell_length_b 5.946
_cell_length_c 5.235
_cell_angle_alpha 90.00
_cell_angle_beta 90.00
_cell_angle_gamma 90.00
loop_
_symmetry_equiv_pos_as_xyz
'x,y,z'
'-x,-y,z+1/2'
'-x,y,z'
'x,-y,z+1/2'
'x+1/2,y+1/2,z'
'-x+1/2,-y+1/2,z+1/2'
'-x+1/2,y+1/2,z'
'x+1/2,-y+1/2,z+1/2'
loop_
_atom_site_label
_atom_site_fract_x
_atom_site_fract_y
_atom_site_fract_z
Nb1 0.247 0.128 0.000
H1 0.000 0.423 0.932
N1 0.000 0.130 0.662
# density of states at the Fermi level: 3.469 states/eV/cell

***

<iv>
# Nb2HN | Alexandria | PBE | relaxed
data_Nb2HN
_symmetry_space_group_name_H-M 'F m -3 m'
_symmetry_Int_Tables_number 225
_symmetry_space_group_name_Hall '-F 4 2 3'
_cell_length_a 5.557
_cell_length_b 5.557
_cell_length_c 5.557
_cell_angle_alpha 90.00
_cell_angle_beta 90.00
_cell_angle_gamma 90.00
loop_
_atom_site_label
_atom_site_fract_x
_atom_site_fract_y
_atom_site_fract_z
Nb1 0.250 0.250 0.250
H1 0.000 0.000 0.000
N1 0.000 0.000 0.500
# density of states at the Fermi level: 15.473 states/eV/cell

***

Which one sits at the bottom of the stability order? <iv> does.

***

<i>
# NbHN | Alexandria | PBE | relaxed
data_NbHN
_symmetry_space_group_name_H-M 'F -4 3 m'
_symmetry_Int_Tables_number 216
_symmetry_space_group_name_Hall 'F -4 2 3'
_cell_length_a 4.875
_cell_length_b 4.875
_cell_length_c 4.875
_cell_angle_alpha 90.00
_cell_angle_beta 90.00
_cell_angle_gamma 90.00
loop_
_atom_site_label
_atom_site_fract_x
_atom_site_fract_y
_atom_site_fract_z
Nb1 0.000 0.000 0.000
H1 0.250 0.250 0.250
N1 0.250 0.250 0.750
# density of states at the Fermi level: 11.456 states/eV/cell

***

<ii>
# NbHN | Alexandria | PBE | relaxed
data_NbHN
_symmetry_space_group_name_H-M 'P 4/m m m'
_symmetry_Int_Tables_number 123
_symmetry_space_group_name_Hall '-P 4 2'
_cell_length_a 2.989
_cell_length_b 2.989
_cell_length_c 3.817
_cell_angle_alpha 90.00
_cell_angle_beta 90.00
_cell_angle_gamma 90.00
loop_
_atom_site_label
_atom_site_fract_x
_atom_site_fract_y
_atom_site_fract_z
Nb1 0.000 0.000 0.000
H1 0.000 0.000 0.500
N1 0.500 0.500 0.000
# density of states at the Fermi level: 0.976 states/eV/cell

***

<iii>
# NbHN | Alexandria | PBE | relaxed
data_NbHN
_symmetry_space_group_name_H-M 'F d d d'
_symmetry_Int_Tables_number 70
_cell_length_a 5.981
_cell_length_b 8.860
_cell_length_c 9.537
_cell_angle_alpha 90.00
_cell_angle_beta 90.00
_cell_angle_gamma 90.00
loop_
_symmetry_equiv_pos_as_xyz
'x,y,z'
'-x,-y,-z'
'-x+1/4,-y+1/4,z'
'x+1/4,y+1/4,-z'
'x,-y+1/4,-z+1/4'
'-x,y+1/4,z+1/4'
'-x+1/4,y,-z+1/4'
'x+1/4,-y,z+1/4'
'x,y+1/2,z+1/2'
'-x,-y+1/2,-z+1/2'
'-x+1/4,-y+3/4,z+1/2'
'x+1/4,y+3/4,-z+1/2'
'x,-y+3/4,-z+3/4'
'-x,y+3/4,z+3/4'
'-x+1/4,y+1/2,-z+3/4'
'x+1/4,-y+1/2,z+3/4'
'x+1/2,y,z+1/2'
'-x+1/2,-y,-z+1/2'
'-x+3/4,-y+1/4,z+1/2'
'x+3/4,y+1/4,-z+1/2'
'x+1/2,-y+1/4,-z+3/4'
'-x+1/2,y+1/4,z+3/4'
'-x+3/4,y,-z+3/4'
'x+3/4,-y,z+3/4'
'x+1/2,y+1/2,z'
'-x+1/2,-y+1/2,-z'
'-x+3/4,-y+3/4,z'
'x+3/4,y+3/4,-z'
'x+1/2,-y+3/4,-z+1/4'
'-x+1/2,y+3/4,z+1/4'
'-x+3/4,y+1/2,-z+1/4'
'x+3/4,-y+1/2,z+1/4'
loop_
_atom_site_label
_atom_site_fract_x
_atom_site_fract_y
_atom_site_fract_z
Nb1 0.125 0.352 0.125
H1 0.125 0.125 0.013
N1 0.000 0.000 0.500
# density of states at the Fermi level: 18.296 states/eV/cell

***

<iv>
# NbHN | Alexandria | PBE | relaxed
data_NbHN
_symmetry_space_group_name_H-M 'C 1 m 1'
_symmetry_Int_Tables_number 8
_cell_length_a 11.086
_cell_length_b 3.063
_cell_length_c 3.711
_cell_angle_alpha 90.00
_cell_angle_beta 105.19
_cell_angle_gamma 90.00
loop_
_symmetry_equiv_pos_as_xyz
'x,y,z'
'x,-y,z'
'x+1/2,y+1/2,z'
'x+1/2,-y+1/2,z'
loop_
_atom_site_label
_atom_site_fract_x
_atom_site_fract_y
_atom_site_fract_z
Nb1 0.000 0.000 0.000
Nb2 0.227 0.500 0.820
H1 0.109 0.000 0.699
H2 0.438 0.500 0.489
N1 0.143 0.500 0.249
N2 0.358 0.000 0.916
# density of states at the Fermi level: 1.587 states/eV/cell

***

Which one sits at the bottom of the stability order? <iii> does.

***

<i>
# NbHN | Alexandria | PBE | relaxed
data_NbHN
_symmetry_space_group_name_H-M 'C 1 m 1'
_symmetry_Int_Tables_number 8
_cell_length_a 7.471
_cell_length_b 3.036
_cell_length_c 4.865
_cell_angle_alpha 90.00
_cell_angle_beta 100.77
_cell_angle_gamma 90.00
loop_
_symmetry_equiv_pos_as_xyz
'x,y,z'
'x,-y,z'
'x+1/2,y+1/2,z'
'x+1/2,-y+1/2,z'
loop_
_atom_site_label
_atom_site_fract_x
_atom_site_fract_y
_atom_site_fract_z
Nb1 0.000 0.000 0.000
Nb2 0.168 0.500 0.593
H1 0.052 0.000 0.397
H2 0.444 0.000 0.216
N1 0.210 0.500 0.035
N2 0.391 0.000 0.681
# density of states at the Fermi level: 0.013 states/eV/cell

***

<ii>
# NbHN | Alexandria | PBE | relaxed
data_NbHN
_symmetry_space_group_name_H-M 'P 1'
_symmetry_Int_Tables_number 1
_cell_length_a 3.080
_cell_length_b 4.077
_cell_length_c 4.699
_cell_angle_alpha 77.03
_cell_angle_beta 89.02
_cell_angle_gamma 69.81
loop_
_symmetry_equiv_pos_as_xyz
'x,y,z'
loop_
_atom_site_label
_atom_site_fract_x
_atom_site_fract_y
_atom_site_fract_z
Nb1 0.000 0.000 0.000
Nb2 0.341 0.314 0.407
H1 0.455 0.616 0.787
H2 0.951 0.058 0.592
N1 0.314 0.425 0.912
N2 0.608 0.763 0.310
# density of states at the Fermi level: 0.559 states/eV/cell

***

Which one sits at the bottom of the stability order? <ii> does.

***

<i>
# NbH2N | Alexandria | PBE | relaxed
data_NbH2N
_symmetry_space_group_name_H-M 'I 41/a m d'
_symmetry_Int_Tables_number 141
_cell_length_a 2.997
_cell_length_b 2.997
_cell_length_c 15.550
_cell_angle_alpha 90.00
_cell_angle_beta 90.00
_cell_angle_gamma 90.00
loop_
_symmetry_equiv_pos_as_xyz
'x,y,z'
'-x,-y,-z'
'-y+1/4,x+3/4,z+1/4'
'y+1/4,-x+3/4,-z+1/4'
'-x+1/2,-y,z+1/2'
'x+1/2,y,-z+1/2'
'y+1/4,-x+1/4,z+3/4'
'-y+1/4,x+1/4,-z+3/4'
'x,-y,-z'
'-x,y,z'
'-y+1/4,-x+1/4,-z+3/4'
'y+1/4,x+1/4,z+3/4'
'-x+1/2,y,-z+1/2'
'x+1/2,-y,z+1/2'
'y+1/4,x+3/4,-z+1/4'
'-y+1/4,-x+3/4,z+1/4'
'x+1/2,y+1/2,z+1/2'
'-x+1/2,-y+1/2,-z+1/2'
'-y+3/4,x+1/4,z+3/4'
'y+3/4,-x+1/4,-z+3/4'
'-x,-y+1/2,z'
'x,y+1/2,-z'
'y+3/4,-x+3/4,z+1/4'
'-y+3/4,x+3/4,-z+1/4'
'x+1/2,-y+1/2,-z+1/2'
'-x+1/2,y+1/2,z+1/2'
'-y+3/4,-x+3/4,-z+1/4'
'y+3/4,x+3/4,z+1/4'
'-x,y+1/2,-z'
'x,-y+1/2,z'
'y+3/4,x+1/4,-z+3/4'
'-y+3/4,-x+1/4,z+3/4'
loop_
_atom_site_label
_atom_site_fract_x
_atom_site_fract_y
_atom_site_fract_z
Nb1 0.000 0.250 0.375
H1 0.000 0.000 0.500
N1 0.000 0.250 0.875
# density of states at the Fermi level: 5.053 states/eV/cell

***

<ii>
# NbH2N | Alexandria | PBE | relaxed
data_NbH2N
_symmetry_space_group_name_H-M 'F m -3 m'
_symmetry_Int_Tables_number 225
_symmetry_space_group_name_Hall '-F 4 2 3'
_cell_length_a 4.808
_cell_length_b 4.808
_cell_length_c 4.808
_cell_angle_alpha 90.00
_cell_angle_beta 90.00
_cell_angle_gamma 90.00
loop_
_atom_site_label
_atom_site_fract_x
_atom_site_fract_y
_atom_site_fract_z
Nb1 0.000 0.000 0.000
H1 0.250 0.250 0.250
N1 0.000 0.000 0.500
# density of states at the Fermi level: 9.898 states/eV/cell

***

Which one sits at the bottom of the stability order? <ii> does.

***

<i>
# Nd3HN2 | Alexandria | PBE | relaxed
data_Nd3HN2
_symmetry_space_group_name_H-M 'C m c m'
_symmetry_Int_Tables_number 63
_symmetry_space_group_name_Hall '-C 2c 2'
_cell_length_a 3.556
_cell_length_b 12.460
_cell_length_c 11.303
_cell_angle_alpha 90.00
_cell_angle_beta 90.00
_cell_angle_gamma 90.00
loop_
_atom_site_label
_atom_site_fract_x
_atom_site_fract_y
_atom_site_fract_z
Nd1 0.000 0.106 0.250
Nd2 0.000 0.389 0.083
H1 0.000 0.224 0.750
N1 0.000 0.000 0.000
N2 0.000 0.492 0.250
# density of states at the Fermi level: 10.865 states/eV/cell

***

<ii>
# Nd3HN2 | Alexandria | PBE | relaxed
data_Nd3HN2
_symmetry_space_group_name_H-M 'I m m m'
_symmetry_Int_Tables_number 71
_symmetry_space_group_name_Hall '-I 2 2'
_cell_length_a 3.632
_cell_length_b 5.154
_cell_length_c 11.075
_cell_angle_alpha 90.00
_cell_angle_beta 90.00
_cell_angle_gamma 90.00
loop_
_atom_site_label
_atom_site_fract_x
_atom_site_fract_y
_atom_site_fract_z
Nd1 0.000 0.000 0.000
Nd2 0.000 0.000 0.319
H1 0.000 0.500 0.000
N1 0.000 0.500 0.331
# density of states at the Fermi level: 4.630 states/eV/cell

***

Which one sits at the bottom of the stability order? <i> does.

***

<i>
# NiHSe2N | Alexandria | PBE | relaxed
data_NiHSe2N
_symmetry_space_group_name_H-M 'P 4/m m m'
_symmetry_Int_Tables_number 123
_symmetry_space_group_name_Hall '-P 4 2'
_cell_length_a 4.975
_cell_length_b 4.975
_cell_length_c 3.335
_cell_angle_alpha 90.00
_cell_angle_beta 90.00
_cell_angle_gamma 90.00
loop_
_atom_site_label
_atom_site_fract_x
_atom_site_fract_y
_atom_site_fract_z
Ni1 0.000 0.000 0.000
H1 0.500 0.500 0.500
Se1 0.000 0.500 0.000
N1 0.000 0.000 0.500
# density of states at the Fermi level: 2.253 states/eV/cell

***

<ii>
# NiHSe2N | Alexandria | PBE | relaxed
data_NiHSe2N
_symmetry_space_group_name_H-M 'P 4/m m m'
_symmetry_Int_Tables_number 123
_symmetry_space_group_name_Hall '-P 4 2'
_cell_length_a 4.731
_cell_length_b 4.731
_cell_length_c 2.647
_cell_angle_alpha 90.00
_cell_angle_beta 90.00
_cell_angle_gamma 90.00
loop_
_atom_site_label
_atom_site_fract_x
_atom_site_fract_y
_atom_site_fract_z
Ni1 0.000 0.000 0.000
H1 0.500 0.500 0.500
Se1 0.000 0.500 0.500
N1 0.500 0.500 0.000
# density of states at the Fermi level: 3.083 states/eV/cell

***

Which one sits at the bottom of the stability order? <i> does.